The following is a DFT calculation (GGA-PBE) of a relaxed structure of BPtAu.

As for the total DFT energy (no corrections): -15.81 eV per formula unit. As for the formation energy: 0.06 eV per atom. As for the space group: C2/m (12). For the volume, the calculation gives 87.19 Å³ per cell.

Geometry as POSCAR:
```
BPtAu
1.0
5.205 -1.527 0.000
5.205 1.527 0.000
-2.622 0.000 5.485
B Pt Au
2 2 2
direct
0.180 0.180 0.390 B
0.820 0.820 0.610 B
0.253 0.253 0.775 Pt
0.747 0.747 0.225 Pt
0.487 0.487 0.251 Au
0.513 0.513 0.749 Au
```

=====

The following is a DFT calculation (GGA-PBE) of a relaxed structure of B2Pt2Au.

As for the total DFT energy (no corrections): -27.93 eV per formula unit. The energy above the most stable polymorph in this dataset comes out at 295 meV per atom. As for the formation energy: 0.16 eV per atom. As for the space group: P4/mmm (123). For the volume, the calculation gives 63.63 Å³ per cell.

Geometry as POSCAR:
```
B2Pt2Au
1.0
2.887 0.000 0.000
0.000 2.887 0.000
0.000 0.000 7.634
B Pt Au
2 2 1
direct
0.000 0.500 0.000 B
0.500 0.000 0.000 B
0.000 0.000 0.222 Pt
0.000 0.000 0.778 Pt
0.500 0.500 0.500 Au
```

=====

The following is a DFT calculation (GGA-PBE) of a relaxed structure of B2PtAu2.

As for the total DFT energy (no corrections): -23.03 eV per formula unit. The energy above the most stable polymorph in this dataset comes out at 279 meV per atom. As for the formation energy: 0.58 eV per atom. As for the space group: I4/mmm (139). For the volume, the calculation gives 67.10 Å³ per cell.

Geometry as POSCAR:
```
B2PtAu2
1.0
-2.018 2.018 4.121
2.018 -2.018 4.121
2.018 2.018 -4.121
B Pt Au
2 1 2
direct
0.098 0.098 0.000 B
0.902 0.902 0.000 B
0.500 0.500 0.000 Pt
0.250 0.750 0.500 Au
0.750 0.250 0.500 Au
```

=====

The following is a DFT calculation (GGA-PBE) of a relaxed structure of BPt3Au.

As for the total DFT energy (no corrections): -28.45 eV per formula unit. The energy above the most stable polymorph in this dataset comes out at 118 meV per atom. As for the formation energy: -0.07 eV per atom. As for the space group: C2/m (12). For the volume, the calculation gives 153.90 Å³ per cell.

Geometry as POSCAR:
```
BPt3Au
1.0
6.728 -1.411 0.000
6.728 1.411 0.000
-0.348 0.000 8.104
B Pt Au
2 6 2
direct
0.157 0.157 0.108 B
0.843 0.843 0.892 B
0.204 0.204 0.356 Pt
0.330 0.330 0.093 Pt
0.458 0.458 0.833 Pt
0.542 0.542 0.167 Pt
0.670 0.670 0.907 Pt
0.796 0.796 0.644 Pt
0.411 0.411 0.417 Au
0.589 0.589 0.583 Au
```

=====

Copy entry 3 word for word.
The following is a DFT calculation (GGA-PBE) of a relaxed structure of B2PtAu2.

As for the total DFT energy (no corrections): -23.03 eV per formula unit. The energy above the most stable polymorph in this dataset comes out at 279 meV per atom. As for the formation energy: 0.58 eV per atom. As for the space group: I4/mmm (139). For the volume, the calculation gives 67.10 Å³ per cell.

Geometry as POSCAR:
```
B2PtAu2
1.0
-2.018 2.018 4.121
2.018 -2.018 4.121
2.018 2.018 -4.121
B Pt Au
2 1 2
direct
0.098 0.098 0.000 B
0.902 0.902 0.000 B
0.500 0.500 0.000 Pt
0.250 0.750 0.500 Au
0.750 0.250 0.500 Au
```